Crystalline TbPr2Nd2Y4 at its relaxed geometry. Source: Alexandria via LeMat-Bulk, functional PBE.

It has space group C2/m (No. 12), with a = 18.990 Å, b = 3.660 Å, c = 9.740 Å, α = 90.00°, β = 115.77° and γ = 90.00°. The inequivalent atoms are Tb at (0.000, 0.000, 0.000), Pr at (0.148, 0.000, 0.664), Nd at (0.165, 0.500, 0.001), Y at (0.019, 0.500, 0.331) and Y at (0.184, 0.000, 0.335).

The value obtained for the formation energy is 0.3 kJ/mol of atoms. The density of states at the Fermi level comes out at 1.398 states/eV per atom.

***

Crystalline TbPrNdY at its relaxed geometry. Source: Alexandria via LeMat-Bulk, functional PBE.

It has space group I-4m2 (No. 119), with a = 5.149 Å, b = 5.149 Å, c = 10.245 Å, α = 90.00°, β = 90.00° and γ = 90.00°. The inequivalent atoms are Tb at (0.000, 0.000, 0.000), Pr at (0.000, 0.000, 0.500), Nd at (0.000, 0.500, 0.250) and Y at (0.000, 0.500, 0.750).

The value obtained for the formation energy is 1.6 kJ/mol of atoms. The density of states at the Fermi level comes out at 1.472 states/eV per atom.

***

Crystalline Tb2PrNdY at its relaxed geometry. Source: Alexandria via LeMat-Bulk, functional PBE.

It has space group Cmcm (No. 63), with a = 8.448 Å, b = 11.715 Å, c = 7.204 Å, α = 90.00°, β = 90.00° and γ = 90.00°. The inequivalent atoms are Tb at (0.187, 0.000, 0.000), Pr at (0.000, 0.224, 0.250), Nd at (0.000, 0.489, 0.250) and Y at (0.000, 0.229, 0.750).

The value obtained for the formation energy is 35.9 kJ/mol of atoms. The density of states at the Fermi level comes out at 1.752 states/eV per atom.

***

Crystalline TbPr6Nd2Y3 at its relaxed geometry. Source: Alexandria via LeMat-Bulk, functional PBE.

It has space group C2/m (No. 12), with a = 6.359 Å, b = 11.018 Å, c = 12.043 Å, α = 90.00°, β = 100.12° and γ = 90.00°. The inequivalent atoms are Tb at (0.000, 0.000, 0.000), Pr at (0.249, 0.000, 0.748), Pr at (0.250, 0.166, 0.252), Nd at (0.000, 0.333, 0.000), Y at (0.000, 0.167, 0.500) and Y at (0.000, 0.500, 0.500).

The value obtained for the formation energy is 0.9 kJ/mol of atoms. The density of states at the Fermi level comes out at 1.284 states/eV per atom.

***

Crystalline TbPrNd2Y6 at its relaxed geometry. Source: Alexandria via LeMat-Bulk, functional PBE.

It has space group C2/c (No. 15), with a = 9.151 Å, b = 15.108 Å, c = 9.848 Å, α = 90.00°, β = 99.52° and γ = 90.00°. The inequivalent atoms are Tb at (0.000, 0.093, 0.250), Pr at (0.000, 0.482, 0.750), Nd at (0.243, 0.451, 0.045), Y at (0.070, 0.310, 0.443), Y at (0.097, 0.106, 0.618) and Y at (0.205, 0.276, 0.815).

The value obtained for the formation energy is 10.8 kJ/mol of atoms. The density of states at the Fermi level comes out at 1.539 states/eV per atom.

***

Crystalline Tb2Pr2NdY2 at its relaxed geometry. Source: Alexandria via LeMat-Bulk, functional PBE.

It has space group C2/m (No. 12), with a = 11.913 Å, b = 3.552 Å, c = 11.956 Å, α = 90.00°, β = 108.52° and γ = 90.00°. The inequivalent atoms are Tb at (0.226, 0.000, 0.364), Pr at (0.172, 0.500, 0.085), Nd at (0.000, 0.000, 0.500) and Y at (0.049, 0.500, 0.772).

The value obtained for the formation energy is 8.1 kJ/mol of atoms. The density of states at the Fermi level comes out at 1.736 states/eV per atom.

***

Crystalline Tb3PrNd6Y2 at its relaxed geometry. Source: Alexandria via LeMat-Bulk, functional PBE.

It has space group C2/m (No. 12), with a = 6.311 Å, b = 10.929 Å, c = 11.997 Å, α = 90.00°, β = 100.08° and γ = 90.00°. The inequivalent atoms are Tb at (0.000, 0.000, 0.000), Tb at (0.000, 0.333, 0.000), Pr at (0.000, 0.500, 0.500), Nd at (0.249, 0.167, 0.248), Nd at (0.249, 0.500, 0.248) and Y at (0.000, 0.167, 0.500).

The value obtained for the formation energy is 1.1 kJ/mol of atoms. The density of states at the Fermi level comes out at 1.276 states/eV per atom.

***

Crystalline Tb2Pr3NdY6 at its relaxed geometry. Source: Alexandria via LeMat-Bulk, functional PBE.

It has space group C2/m (No. 12), with a = 6.273 Å, b = 10.861 Å, c = 11.903 Å, α = 90.00°, β = 100.08° and γ = 90.00°. The inequivalent atoms are Tb at (0.000, 0.167, 0.000), Pr at (0.000, 0.000, 0.500), Pr at (0.000, 0.333, 0.500), Nd at (0.000, 0.500, 0.000), Y at (0.249, 0.000, 0.247) and Y at (0.249, 0.333, 0.248).

The value obtained for the formation energy is 1.3 kJ/mol of atoms. The density of states at the Fermi level comes out at 1.283 states/eV per atom.

***

Crystalline Tb2PrNd5Y at its relaxed geometry. Source: Alexandria via LeMat-Bulk, functional PBE.

It has space group Cmc2_1 (No. 36), with a = 5.710 Å, b = 20.588 Å, c = 10.773 Å, α = 90.00°, β = 90.00° and γ = 90.00°. The inequivalent atoms are Tb at (0.000, 0.111, 0.000), Tb at (0.000, 0.116, 0.582), Pr at (0.000, 0.202, 0.274), Nd at (0.000, 0.016, 0.286), Nd at (0.000, 0.280, 0.573), Nd at (0.000, 0.297, 0.968), Nd at (0.000, 0.392, 0.290), Nd at (0.000, 0.479, 0.007) and Y at (0.000, 0.410, 0.721).

The value obtained for the formation energy is 14.0 kJ/mol of atoms. The density of states at the Fermi level comes out at 1.574 states/eV per atom.

***

Crystalline TbPr2Nd6Y at its relaxed geometry. Source: Alexandria via LeMat-Bulk, functional PBE.

It has space group C2/c (No. 15), with a = 9.232 Å, b = 15.476 Å, c = 9.970 Å, α = 90.00°, β = 99.06° and γ = 90.00°. The inequivalent atoms are Tb at (0.000, 0.019, 0.250), Pr at (0.244, 0.050, 0.541), Nd at (0.064, 0.186, 0.945), Nd at (0.103, 0.396, 0.121), Nd at (0.203, 0.222, 0.312) and Y at (0.000, 0.407, 0.750).

The value obtained for the formation energy is 10.6 kJ/mol of atoms. The density of states at the Fermi level comes out at 1.496 states/eV per atom.

***

Crystalline TbPr2Nd2Y2 at its relaxed geometry. Source: Alexandria via LeMat-Bulk, functional PBE.

It has space group C2/m (No. 12), with a = 11.528 Å, b = 5.156 Å, c = 8.145 Å, α = 90.00°, β = 98.18° and γ = 90.00°. The inequivalent atoms are Tb at (0.000, 0.000, 0.000), Pr at (0.143, 0.000, 0.427), Nd at (0.071, 0.500, 0.718) and Y at (0.215, 0.500, 0.140).

The value obtained for the formation energy is 1.6 kJ/mol of atoms. The density of states at the Fermi level comes out at 1.487 states/eV per atom.

***

Crystalline TbPr6Nd2Y at its relaxed geometry. Source: Alexandria via LeMat-Bulk, functional PBE.

It has space group C2/c (No. 15), with a = 9.292 Å, b = 15.546 Å, c = 9.961 Å, α = 90.00°, β = 98.86° and γ = 90.00°. The inequivalent atoms are Tb at (0.000, 0.021, 0.250), Pr at (0.063, 0.182, 0.946), Pr at (0.103, 0.396, 0.120), Pr at (0.206, 0.222, 0.312), Nd at (0.245, 0.049, 0.542) and Y at (0.000, 0.408, 0.750).

The value obtained for the formation energy is 10.5 kJ/mol of atoms. The density of states at the Fermi level comes out at 1.504 states/eV per atom.